Compound: Ce4As5Pd
Source: Alexandria
Functional: PBE
Structure: relaxed

a = 4.221 Å, b = 4.221 Å, c = 15.900 Å
α = 82.37°, β = 82.37°, γ = 60.00°
Element x y z (fractional)
As (0.809, 0.809, 0.572)
As (0.407, 0.407, 0.780)
Ce (0.703, 0.703, 0.891)
Ce (0.110, 0.110, 0.669)
Ce (0.297, 0.297, 0.109)
Pd (0.500, 0.500, 0.500)
As (0.191, 0.191, 0.428)
Ce (0.890, 0.890, 0.331)
As (0.593, 0.593, 0.220)
As (0.000, 0.000, 0.000)

Computed properties:
**Crystal system**: trigonal
**Uncorrected energy**: -6.382 eV/atom
**Energy of formation from the pure elements**: -1.1640 eV/atom
**Total magnetic moment**: 2.4 μB/f.u.

***

Compound: CeAsPd
Source: Alexandria
Functional: PBE
Structure: relaxed

a = 4.369 Å, b = 4.369 Å, c = 7.807 Å
α = 90.00°, β = 90.00°, γ = 120.00°
Element x y z (fractional)
As (0.333, 0.667, 0.250)
Ce (0.000, 0.000, 0.500)
Pd (0.667, 0.333, 0.250)
As (0.667, 0.333, 0.750)
Pd (0.333, 0.667, 0.750)
Ce (0.000, 0.000, 0.000)

Computed properties:
**Crystal system**: hexagonal
**Uncorrected energy**: -6.378 eV/atom
**Energy of formation from the pure elements**: -1.1195 eV/atom
**Total magnetic moment**: 1.0 μB/f.u.